## HoZn11Ir (PBE)

Data for a geometry-optimized HoZn11Ir structure.

**Total energy**: -2.331 eV per atom
**ΔE_f**: -0.22 eV per atom
**Volume**: 205 Å³ per cell
**Crystal system**: monoclinic
**Space-group type**: C2/m

a = 5.2001 Å, b = 6.7871 Å, c = 6.8715 Å
α = 81.13°, β = 67.77°, γ = 65.94°
Closest atoms and distances in Å follow each position.
Element x y z (fractional)
1 Zn 0.5000 0.0000 0.5000  10 Zn 2.57-2.74
2 Zn 0.0000 0.0000 0.5000  10 Zn 2.57-2.74
3 Zn 0.6297 0.3538 0.3488  9 Zn 2.65-2.97, 1 Ir 2.67
4 Zn 0.2847 0.2139 0.2169  7 Zn 2.57-2.81, 1 Ir 2.62
5 Zn 0.0000 0.5000 0.0000  8 Zn 2.57-2.79, 2 Ir 2.60
6 Zn 0.4984 0.7861 0.2169  7 Zn 2.57-2.81, 1 Ir 2.62
7 Zn 0.5016 0.2139 0.7831  7 Zn 2.57-2.81, 1 Ir 2.62
8 Zn 0.7153 0.7861 0.7831  7 Zn 2.57-2.81, 1 Ir 2.62
9 Zn 0.3703 0.6462 0.6512  9 Zn 2.65-2.97, 1 Ir 2.67
10 Zn 0.9785 0.3538 0.6512  9 Zn 2.65-2.97, 1 Ir 2.67
11 Zn 0.0215 0.6462 0.3488  9 Zn 2.65-2.97, 1 Ir 2.67
12 Ho 0.0000 0.0000 0.0000  18 Zn 3.12-3.44, 2 Ir 3.33
13 Ir 0.5000 0.5000 0.0000  10 Zn 2.60-2.67